Compound: Sr2CoSe2Cl2O6
Source: Alexandria via LeMat-Bulk
Functional: meta-GGA SCAN
Structure: single point on PBEsol structure

Unit cell a=5.325 b=6.384 c=13.040 alpha=90.00 beta=111.04 gamma=90.00
Space group P2_1/c (No. 14)
Unique sites:
Sr (0.222, 0.197, 0.234) [4 per cell]
Co (0.500, 0.000, 0.000) [2 per cell]
Se (0.079, 0.736, 0.072) [4 per cell]
Cl (0.446, 0.673, 0.896) [4 per cell]
O (0.115, 0.569, 0.177) [4 per cell]
O (0.120, 0.075, 0.897) [4 per cell]
O (0.378, 0.622, 0.621) [4 per cell]

Results
VASP energy: -359.5 eV for the cell shown
D(E_F): 0.00 states/eV/atom